Entry 1:
# PBE HoSiH2O4, optimized geometry
# Distance to the lowest polymorph of the same formula   364 meV per atom
data_HoSiH2O4
_chemical_formula_sum 'Ho4 Si4 H8 O16'
_symmetry_space_group_name_H-M 'I 41/a m d'
_symmetry_Int_Tables_number 141
_cell_length_a 6.430
_cell_length_b 6.430
_cell_length_c 8.077
_cell_angle_alpha 90.00
_cell_angle_beta 90.00
_cell_angle_gamma 90.00
loop_
_symmetry_equiv_pos_as_xyz
'x,y,z'
'-x,-y,-z'
'-y+1/4,x+3/4,z+1/4'
'y+1/4,-x+3/4,-z+1/4'
'-x+1/2,-y,z+1/2'
'x+1/2,y,-z+1/2'
'y+1/4,-x+1/4,z+3/4'
'-y+1/4,x+1/4,-z+3/4'
'x,-y,-z'
'-x,y,z'
'-y+1/4,-x+1/4,-z+3/4'
'y+1/4,x+1/4,z+3/4'
'-x+1/2,y,-z+1/2'
'x+1/2,-y,z+1/2'
'y+1/4,x+3/4,-z+1/4'
'-y+1/4,-x+3/4,z+1/4'
'x+1/2,y+1/2,z+1/2'
'-x+1/2,-y+1/2,-z+1/2'
'-y+3/4,x+1/4,z+3/4'
'y+3/4,-x+1/4,-z+3/4'
'-x,-y+1/2,z'
'x,y+1/2,-z'
'y+3/4,-x+3/4,z+1/4'
'-y+3/4,x+3/4,-z+1/4'
'x+1/2,-y+1/2,-z+1/2'
'-x+1/2,y+1/2,z+1/2'
'-y+3/4,-x+3/4,-z+1/4'
'y+3/4,x+3/4,z+1/4'
'-x,y+1/2,-z'
'x,-y+1/2,z'
'y+3/4,x+1/4,-z+3/4'
'-y+3/4,-x+1/4,z+3/4'
loop_
_atom_site_label
_atom_site_fract_x
_atom_site_fract_y
_atom_site_fract_z
_atom_site_occupancy
Ho1 0.000 0.250 0.375 1
Si1 0.000 0.250 0.875 1
H1 0.000 0.250 0.108 1
O1 0.000 0.062 0.735 1

Entry 2:
# PBE NpF, optimized geometry
# Distance to the lowest polymorph of the same formula   115 meV per atom
data_NpF
_chemical_formula_sum 'Np4 F4'
_symmetry_space_group_name_H-M 'F -4 3 m'
_symmetry_Int_Tables_number 216
_symmetry_space_group_name_Hall 'F -4 2 3'
_cell_length_a 5.488
_cell_length_b 5.488
_cell_length_c 5.488
_cell_angle_alpha 90.00
_cell_angle_beta 90.00
_cell_angle_gamma 90.00
loop_
_atom_site_label
_atom_site_fract_x
_atom_site_fract_y
_atom_site_fract_z
_atom_site_occupancy
Np1 0.000 0.000 0.000 1
F1 0.250 0.250 0.250 1

Entry 3:
# PBE MgPa2N4, optimized geometry
# Total energy   -9.101 eV/atom
data_MgPa2N4
_chemical_formula_sum 'Mg4 Pa8 N16'
_symmetry_space_group_name_H-M 'I -4 2 d'
_symmetry_Int_Tables_number 122
_symmetry_space_group_name_Hall 'I -4 2bw'
_cell_length_a 7.266
_cell_length_b 7.266
_cell_length_c 7.159
_cell_angle_alpha 90.00
_cell_angle_beta 90.00
_cell_angle_gamma 90.00
loop_
_atom_site_label
_atom_site_fract_x
_atom_site_fract_y
_atom_site_fract_z
_atom_site_occupancy
Mg1 0.000 0.000 0.000 1
Pa1 0.184 0.750 0.625 1
N1 0.061 0.721 0.914 1